No. 1
A plane-wave DFT calculation with PBE-GGA was carried out for an optimized crystal structure of Y2Al12Cu7.

Output
- total magnetization (μB per formula unit) = 0.0
- volume (Å³/atom) = 16.3
- calculated formation energy (meV per atom) = -299

```
21
Lattice="3.933 0.000 0.000 0.000 8.678 -5.010 0.000 0.000 10.020" Properties=species:S:1:pos:R:3 pbc="T T T"
Y 1.029 2.893 5.010
Y 2.904 5.785 0.000
Al 0.977 5.345 -2.585
Al 0.977 3.767 1.674
Al 0.977 8.244 0.911
Al 2.956 3.333 7.595
Al 2.956 4.911 3.336
Al 2.956 0.434 4.099
Al 1.001 0.991 2.086
Al 1.001 1.311 8.119
Al 1.001 6.376 4.825
Al 2.932 7.687 2.924
Al 2.932 7.367 -3.109
Al 2.932 2.302 0.185
Cu 1.966 0.000 0.000
Cu 0.960 7.615 -1.490
Cu 0.960 3.579 -0.840
Cu 0.960 6.161 2.330
Cu 2.973 1.062 6.500
Cu 2.973 5.098 5.850
Cu 2.973 2.517 2.680
```


No. 2
A plane-wave DFT calculation with PBE-GGA was carried out for an optimized crystal structure of Y3Al2Cu6.

Output
- total magnetization (μB per formula unit) = 0.0
- volume (Å³/atom) = 17.5
- calculated formation energy (meV per atom) = -339

```
22
Lattice="-7.229 -2.993 1.335 5.499 -5.280 2.209 0.912 6.680 4.189" Properties=species:S:1:pos:R:3 pbc="T T T"
Y -4.555 2.658 3.983
Y -1.762 1.028 1.541
Y 1.789 0.391 1.785
Y 4.623 1.009 4.613
Y -0.483 -2.308 0.989
Y -1.247 -5.966 2.555
Al 2.750 -2.640 1.105
Al -3.615 -1.497 0.667
Al 0.456 3.340 2.094
Al -0.409 -0.797 3.866
Cu -2.376 0.695 4.422
Cu -4.518 0.228 2.285
Cu -1.799 3.459 3.238
Cu 1.559 -2.289 3.310
Cu 3.972 -1.298 2.868
Cu -2.679 -1.527 3.019
Cu 1.862 -0.066 4.714
Cu 2.440 2.698 3.530
Cu 1.261 -4.519 1.918
Cu -0.849 -3.287 3.763
Cu 0.032 1.694 3.969
Cu -2.991 -3.755 1.626
```


No. 3
A plane-wave DFT calculation with PBE-GGA was carried out for an optimized crystal structure of Y5AlCu4.

Output
- total magnetization (μB per formula unit) = 0.0
- volume (Å³/atom) = 21.6
- calculated formation energy (meV per atom) = -277

```
10
Lattice="3.484 0.000 0.000 0.000 3.484 0.000 0.000 0.000 17.801" Properties=species:S:1:pos:R:3 pbc="T T T"
Y 1.742 1.742 1.913
Y 1.742 1.742 5.404
Y 1.742 1.742 8.900
Y 1.742 1.742 12.397
Y 1.742 1.742 15.888
Al 0.000 0.000 0.000
Cu 0.000 0.000 3.635
Cu 0.000 0.000 7.174
Cu 0.000 0.000 10.627
Cu 0.000 0.000 14.166
```


No. 4
A plane-wave DFT calculation with PBE-GGA was carried out for an optimized crystal structure of Y2AlCu2.

Output
- total magnetization (μB per formula unit) = 0.0
- volume (Å³/atom) = 21.2
- calculated formation energy (meV per atom) = -127

```
5
Lattice="3.453 0.000 0.000 0.000 3.453 0.000 1.727 1.727 8.884" Properties=species:S:1:pos:R:3 pbc="T T T"
Y 1.727 1.727 1.989
Y 3.453 3.453 6.896
Al 0.000 0.000 0.000
Cu 3.453 1.727 4.442
Cu 1.727 3.453 4.442
```


No. 5
A plane-wave DFT calculation with PBE-GGA was carried out for an optimized crystal structure of Y4AlCu.

Output
- total magnetization (μB per formula unit) = 0.0
- ΔE to the lowest computed polymorph (kJ/mol of formula units) = 413.5
- volume (Å³/atom) = 27.8
- calculated formation energy (meV per atom) = 568

```
6
Lattice="-5.887 1.504 1.131 -4.017 0.491 -4.672 -4.458 -4.224 -0.700" Properties=species:S:1:pos:R:3 pbc="T T T"
Y -7.393 -0.593 -3.916
Y -8.323 -0.089 -1.031
Y -7.612 -2.937 -1.941
Y -5.396 -0.837 -1.593
Al -10.772 -1.671 -3.180
Cu 0.000 0.000 0.000
```


No. 6
A plane-wave DFT calculation with PBE-GGA was carried out for an optimized crystal structure of YAlCu2.

Output
- total magnetization (μB per formula unit) = 0.0
- volume (Å³/atom) = 19.5
- calculated formation energy (meV per atom) = 347

```
4
Lattice="-5.397 -0.985 -2.489 3.884 -3.699 2.743 3.448 1.730 4.627" Properties=species:S:1:pos:R:3 pbc="T T T"
Y 3.666 -0.984 3.685
Al 0.000 0.000 0.000
Cu 1.661 -0.446 1.669
Cu 5.672 -1.523 5.701
```


No. 7
A plane-wave DFT calculation with PBE-GGA was carried out for an optimized crystal structure of YAl2Cu6.

Output
- total magnetization (μB per formula unit) = 0.0
- volume (Å³/atom) = 15.6
- calculated formation energy (meV per atom) = -86

```
9
Lattice="3.394 0.000 0.000 1.697 6.874 1.257 1.697 2.589 6.490" Properties=species:S:1:pos:R:3 pbc="T T T"
Y 0.000 0.000 0.000
Al 5.091 6.027 4.934
Al 1.697 3.436 2.813
Cu 3.394 1.673 4.089
Cu 3.394 7.790 3.658
Cu 3.394 5.124 6.915
Cu 3.394 5.459 2.985
Cu 3.394 4.004 4.762
Cu 3.394 4.339 0.833
```


No. 8
A plane-wave DFT calculation with PBE-GGA was carried out for an optimized crystal structure of Y2AlCu6.

Output
- total magnetization (μB per formula unit) = 0.0
- volume (Å³/atom) = 16.4
- calculated formation energy (meV per atom) = -244

```
9
Lattice="-1.754 4.148 3.301 -4.499 0.597 -3.140 -0.077 -3.456 4.304" Properties=species:S:1:pos:R:3 pbc="T T T"
Y -4.509 2.755 2.134
Y -1.821 -1.467 2.331
Al 0.000 0.000 0.000
Cu -2.229 0.997 0.762
Cu -4.331 -0.316 1.295
Cu -4.296 1.271 -0.681
Cu -4.101 0.291 3.703
Cu -1.999 1.604 3.169
Cu -2.034 0.017 5.146
```


No. 9
A plane-wave DFT calculation with PBE-GGA was carried out for an optimized crystal structure of YAl2Cu9.

Output
- total magnetization (μB per formula unit) = 0.0
- ΔE to the lowest computed polymorph (kJ/mol of formula units) = 0.0
- volume (Å³/atom) = 14.0
- calculated formation energy (meV per atom) = -197

```
24
Lattice="5.986 0.000 2.756 2.993 7.152 1.378 0.002 0.000 7.874" Properties=species:S:1:pos:R:3 pbc="T T T"
Y 2.993 0.000 1.378
Y 2.994 3.576 5.315
Al 5.987 1.788 8.661
Al 7.482 5.364 5.413
Al 5.986 1.788 4.724
Al 4.491 5.364 7.972
Cu 5.986 3.576 6.693
Cu 0.000 0.000 0.000
Cu 2.814 6.544 6.575
Cu 3.834 0.608 4.360
Cu 4.566 1.219 6.709
Cu 5.075 5.933 5.604
Cu 6.898 5.933 7.782
Cu 1.421 1.219 3.921
Cu 3.173 6.544 4.055
Cu 2.153 0.608 6.270
Cu 6.167 4.184 9.370
Cu 2.152 2.968 2.333
Cu 1.422 2.357 7.858
Cu 3.904 4.795 2.467
Cu 2.083 4.795 8.163
Cu 4.565 2.357 2.771
Cu 5.806 4.184 4.015
Cu 3.835 2.968 8.297
```


No. 10
A plane-wave DFT calculation with PBE-GGA was carried out for an optimized crystal structure of Y6Al7Cu16.

Output
- total magnetization (μB per formula unit) = 0.0
- volume (Å³/atom) = 16.2
- calculated formation energy (meV per atom) = -378

```
29
Lattice="-1.056 -0.346 8.664 -0.123 -7.723 4.079 6.676 -2.340 5.123" Properties=species:S:1:pos:R:3 pbc="T T T"
Al 0.000 0.000 0.000
Al 3.277 -5.031 4.601
Al -0.528 -0.173 4.332
Al -0.589 -4.035 6.372
Al 3.338 -1.170 2.562
Al -0.062 -3.861 2.040
Al 2.810 -1.343 6.893
Cu 4.892 -5.179 13.598
Cu 4.829 -9.143 15.692
Cu 5.371 -8.965 11.245
Cu 1.402 -7.942 13.063
Cu 0.669 -1.266 2.174
Cu 0.606 -5.231 4.268
Cu 0.127 -1.444 6.621
Cu 4.096 -2.468 4.804
Cu 3.666 -9.369 13.281
Cu 3.704 -7.013 12.037
Cu 3.382 -7.119 14.680
Cu 5.741 -7.727 13.600
Cu 1.794 -3.396 5.829
Cu 1.831 -1.040 4.585
Cu 2.116 -3.291 3.186
Cu -0.243 -2.682 4.266
Y 1.135 -3.143 8.819
Y 4.363 -7.266 9.047
Y 4.415 -3.989 7.317
Y 1.082 -6.420 10.550
Y 3.967 -4.136 10.993
Y 1.530 -6.273 6.874
```


Repeat the fifth record exactly.
A plane-wave DFT calculation with PBE-GGA was carried out for an optimized crystal structure of Y4AlCu.

Output
- total magnetization (μB per formula unit) = 0.0
- ΔE to the lowest computed polymorph (kJ/mol of formula units) = 413.5
- volume (Å³/atom) = 27.8
- calculated formation energy (meV per atom) = 568

```
6
Lattice="-5.887 1.504 1.131 -4.017 0.491 -4.672 -4.458 -4.224 -0.700" Properties=species:S:1:pos:R:3 pbc="T T T"
Y -7.393 -0.593 -3.916
Y -8.323 -0.089 -1.031
Y -7.612 -2.937 -1.941
Y -5.396 -0.837 -1.593
Al -10.772 -1.671 -3.180
Cu 0.000 0.000 0.000
```


Question: Which value of volume does entry 5 give?
Answer: 27.8 Å³/atom